## NaNiO3 (PBE+U)

Data for an optimized crystal structure of NaNiO3.

Output
- Total energy: -2.4459 eV per atom

a = 3.9204 Å, b = 3.9204 Å, c = 3.9204 Å
α = 90.00°, β = 90.00°, γ = 90.00°
Closest atoms and distances in Å follow each position.
Fractional positions:
O1 0.5000 0.0000 0.0000  2 Na 1.96
O2 0.0000 0.5000 0.0000  2 Na 1.96
Ni1 0.5000 0.5000 0.5000  12 O 2.77
O3 0.0000 0.0000 0.5000  2 Na 1.96
Na1 0.0000 0.0000 0.0000  6 O 1.96